# SbPBr2

A relaxed structure of SbPBr2 (GGA-PBE, the Alexandria database).

Structure (extended XYZ):
```
4
Lattice="3.465 0.000 0.000 0.000 5.307 0.000 0.000 0.000 5.774" Properties=species:S:1:pos:R:3 pbc="T T T"
Sb 0.000 0.000 0.000
P 1.732 0.000 2.887
Br 0.000 2.654 0.000
Br 1.732 2.654 2.887
```

Properties
calculated volume: 106 Å³/cell
E: -2.910 eV per atom
ΔE to the lowest computed polymorph: 508.9 meV/atom
SG: Pmmm

# NbInRh3

A relaxed structure of NbInRh3 (GGA-PBE, the Alexandria database).

Structure (extended XYZ):
```
5
Lattice="4.730 0.000 0.000 0.000 4.730 0.000 0.000 0.000 4.730" Properties=species:S:1:pos:R:3 pbc="T T T"
Nb 0.000 0.000 0.000
In 2.365 2.365 2.365
Rh 0.000 2.365 2.365
Rh 2.365 0.000 2.365
Rh 2.365 2.365 0.000
```

Properties
calculated volume: 106 Å³/cell
E: -5.595 eV per atom
formation energy: 1.38 eV/atom
SG: Pm-3m

# YTmH

A relaxed structure of YTmH (GGA-PBE, the Alexandria database).

Structure (extended XYZ):
```
24
Lattice="11.932 0.000 0.000 0.000 6.904 0.000 0.000 0.000 5.978" Properties=species:S:1:pos:R:3 pbc="T T T"
Y 1.419 0.874 0.493
Y 1.419 6.030 3.482
Y 4.547 2.578 3.482
Y 4.547 4.326 0.493
Y 7.385 2.578 5.485
Y 7.385 4.326 2.496
Y 10.513 0.874 2.496
Y 10.513 6.030 5.485
Tm 1.355 2.602 3.491
Tm 1.355 4.301 0.502
Tm 4.611 0.850 0.502
Tm 4.611 6.054 3.491
Tm 7.321 0.850 2.487
Tm 7.321 6.054 5.475
Tm 10.576 2.602 5.475
Tm 10.576 4.301 2.487
H 2.963 2.596 5.474
H 2.963 4.307 2.485
H 3.003 0.856 2.485
H 3.003 6.048 5.474
H 8.928 0.856 0.503
H 8.928 6.048 3.492
H 8.969 2.596 3.492
H 8.969 4.307 0.503
```

Properties
calculated volume: 492 Å³/cell
E: -4.899 eV per atom
ΔE to the lowest computed polymorph: 167.1 meV/atom
SG: Pbcn

# TaBi2Br

A relaxed structure of TaBi2Br (GGA-PBE, the Alexandria database).

Structure (extended XYZ):
```
16
Lattice="7.450 0.000 0.000 0.000 7.450 0.000 0.000 0.000 7.450" Properties=species:S:1:pos:R:3 pbc="T T T"
Ta 0.000 0.000 0.000
Ta 0.000 3.725 3.725
Ta 3.725 0.000 3.725
Ta 3.725 3.725 0.000
Bi 1.862 1.862 1.862
Bi 1.862 1.862 5.587
Bi 1.862 5.587 1.862
Bi 1.862 5.587 5.587
Bi 5.587 1.862 1.862
Bi 5.587 1.862 5.587
Bi 5.587 5.587 1.862
Bi 5.587 5.587 5.587
Br 0.000 0.000 3.725
Br 0.000 3.725 0.000
Br 3.725 0.000 0.000
Br 3.725 3.725 3.725
```

Properties
calculated volume: 413 Å³/cell
E: -4.588 eV per atom
ΔE to the lowest computed polymorph: 42.6 meV/atom
SG: Fm-3m

# ZnRu2Au

A relaxed structure of ZnRu2Au (GGA-PBE, the Alexandria database).

Structure (extended XYZ):
```
16
Lattice="6.233 0.000 0.000 0.000 6.233 0.000 0.000 0.000 6.233" Properties=species:S:1:pos:R:3 pbc="T T T"
Zn 0.000 0.000 0.000
Zn 0.000 3.116 3.116
Zn 3.116 0.000 3.116
Zn 3.116 3.116 0.000
Ru 0.000 0.000 3.116
Ru 0.000 3.116 0.000
Ru 1.558 1.558 1.558
Ru 1.558 4.675 4.675
Ru 3.116 0.000 0.000
Ru 3.116 3.116 3.116
Ru 4.675 1.558 4.675
Ru 4.675 4.675 1.558
Au 1.558 1.558 4.675
Au 1.558 4.675 1.558
Au 4.675 1.558 1.558
Au 4.675 4.675 4.675
```

Properties
calculated volume: 242 Å³/cell
E: -5.454 eV per atom
formation energy: 0.32 eV/atom
SG: F-43m

# SrTbZnAu

A relaxed structure of SrTbZnAu (GGA-PBE, the Alexandria database).

Structure (extended XYZ):
```
16
Lattice="7.432 0.000 0.000 0.000 7.432 0.000 0.000 0.000 7.432" Properties=species:S:1:pos:R:3 pbc="T T T"
Sr 0.000 0.000 0.000
Sr 0.000 3.716 3.716
Sr 3.716 0.000 3.716
Sr 3.716 3.716 0.000
Tb 0.000 0.000 3.716
Tb 0.000 3.716 0.000
Tb 3.716 0.000 0.000
Tb 3.716 3.716 3.716
Zn 1.858 1.858 1.858
Zn 1.858 5.574 5.574
Zn 5.574 1.858 5.574
Zn 5.574 5.574 1.858
Au 1.858 1.858 5.574
Au 1.858 5.574 1.858
Au 5.574 1.858 1.858
Au 5.574 5.574 5.574
```

Properties
calculated volume: 411 Å³/cell
E: -3.165 eV per atom
formation energy: -0.45 eV/atom
SG: F-43m

# SrTeMo2

A relaxed structure of SrTeMo2 (GGA-PBE, the Alexandria database).

Structure (extended XYZ):
```
16
Lattice="4.639 0.000 0.000 0.000 4.639 0.000 0.000 0.000 20.062" Properties=species:S:1:pos:R:3 pbc="T T T"
Sr 0.000 0.000 0.000
Sr 0.000 2.319 5.015
Sr 2.319 0.000 15.046
Sr 2.319 2.319 10.031
Te 0.000 0.000 10.031
Te 0.000 2.319 15.046
Te 2.319 0.000 5.015
Te 2.319 2.319 0.000
Mo 0.359 3.479 12.539
Mo 1.160 0.359 7.523
Mo 1.160 1.960 17.554
Mo 1.960 3.479 2.508
Mo 2.679 1.160 2.508
Mo 3.479 2.679 17.554
Mo 3.479 4.279 7.523
Mo 4.279 1.160 12.539
```

Properties
calculated volume: 432 Å³/cell
E: -6.042 eV per atom
SG: I-42d

# Y2BiPt2

A relaxed structure of Y2BiPt2 (GGA-PBE, the Alexandria database).

Structure (extended XYZ):
```
10
Lattice="5.337 0.000 0.000 0.000 5.337 0.000 0.000 0.000 8.996" Properties=species:S:1:pos:R:3 pbc="T T T"
Y 0.000 2.669 2.249
Y 0.000 2.669 6.747
Y 2.669 0.000 2.249
Y 2.669 0.000 6.747
Bi 0.000 0.000 0.000
Bi 2.669 2.669 4.498
Pt 0.000 0.000 3.230
Pt 0.000 0.000 5.766
Pt 2.669 2.669 1.268
Pt 2.669 2.669 7.728
```

Properties
calculated volume: 256 Å³/cell
E: -6.664 eV per atom
ΔE to the lowest computed polymorph: 198.3 meV/atom
formation energy: -0.89 eV/atom
SG: I4/mmm

# CaCePr2Tl4

A relaxed structure of CaCePr2Tl4 (GGA-PBE, the Alexandria database).

Structure (extended XYZ):
```
8
Lattice="2.761 1.594 9.156 -2.761 1.594 9.156 0.000 -3.189 9.156" Properties=species:S:1:pos:R:3 pbc="T T T"
Ca 0.000 0.000 0.000
Ce 0.000 0.000 13.734
Pr 0.000 0.000 7.001
Pr 0.000 0.000 20.467
Tl 0.000 0.000 3.481
Tl 0.000 0.000 10.353
Tl 0.000 0.000 17.115
Tl 0.000 0.000 23.986
```

Properties
calculated volume: 242 Å³/cell
E: -3.720 eV per atom
formation energy: -0.35 eV/atom
SG: R-3m

# TbDy8Y2

A relaxed structure of TbDy8Y2 (GGA-PBE, the Alexandria database).

Structure (extended XYZ):
```
11
Lattice="4.533 -8.259 0.000 4.533 8.259 0.000 -3.500 0.000 4.756" Properties=species:S:1:pos:R:3 pbc="T T T"
Tb 0.000 0.000 0.000
Dy -0.434 2.025 3.309
Dy 4.533 4.902 0.000
Dy -0.434 -2.025 3.309
Dy 3.276 0.000 1.005
Dy 2.289 0.000 3.752
Dy 6.000 2.025 1.447
Dy 4.533 -4.902 0.000
Dy 6.000 -2.025 1.447
Y 2.783 3.137 2.378
Y 2.783 -3.137 2.378
```

Properties
calculated volume: 356 Å³/cell
E: -4.788 eV per atom
ΔE to the lowest computed polymorph: 0.0 meV/atom
formation energy: 0.16 eV/atom
SG: C2/m

# Cd2AgIr

A relaxed structure of Cd2AgIr (GGA-PBE, the Alexandria database).

Structure (extended XYZ):
```
12
Lattice="2.911 0.000 0.000 -1.455 2.521 0.000 0.000 0.000 30.065" Properties=species:S:1:pos:R:3 pbc="T T T"
Cd 0.000 0.000 0.000
Cd 0.000 0.000 7.163
Cd 0.000 1.681 20.043
Cd 0.000 1.681 27.206
Cd 1.455 0.840 10.022
Cd 1.455 0.840 17.184
Ag 0.000 0.000 14.658
Ag 0.000 1.681 4.637
Ag 1.455 0.840 24.680
Ir 0.000 0.000 22.358
Ir 0.000 1.681 12.337
Ir 1.455 0.840 2.315
```

Properties
calculated volume: 221 Å³/cell
E: -3.176 eV per atom
formation energy: 0.21 eV/atom
SG: R3m

# RbPuSn2F8

A relaxed structure of RbPuSn2F8 (GGA-PBE, the Alexandria database).

Structure (extended XYZ):
```
12
Lattice="4.308 0.000 0.000 -0.001 6.332 0.000 -0.026 -0.842 8.502" Properties=species:S:1:pos:R:3 pbc="T T T"
Rb 0.000 0.000 0.000
Pu -0.013 -0.421 4.251
Sn 2.128 2.288 6.431
Sn 2.154 3.203 2.072
F -0.013 1.303 6.147
F -0.007 4.445 5.910
F 2.149 4.537 0.444
F 2.140 0.676 4.849
F 2.141 4.815 3.653
F 2.133 0.953 8.058
F 4.289 1.046 2.592
F 4.294 4.188 2.355
```

Properties
calculated volume: 232 Å³/cell
E: -6.000 eV per atom
SG: P-1

> Look up the E of the third one.

-4.899 eV per atom